# Ag2SbSe

A relaxed structure of Ag2SbSe (PBE, Alexandria via LeMat-Bulk).

Lattice parameters (Å, degrees): 3.8540 3.8575 5.8510 90.00 90.00 90.00
With the nearest neighbours (Å) after each atom.
Sites, in units of the cell vectors:
Ag: 0.0000 0.0000 0.0013  2 Ag 2.91-2.94, 4 Sb 3.09, 4 Se 3.10
Ag: 0.0000 0.0000 0.4987  2 Ag 2.91-2.94, 4 Sb 3.09, 4 Se 3.10
Sb: 0.5000 0.5000 0.2500  2 Se 2.93, 8 Ag 3.09
Se: 0.5000 0.5000 0.7500  2 Sb 2.93, 8 Ag 3.10

## Properties
mass density: 8.0 g/cm3
DOS at the Fermi energy: 1.5 states/eV/cell
formation energy from raw total energies: 0.113 eV per atom
E: -12.86 eV per cell
space group: No. 123